No. 1
Here is crystalline Pa3Ga3Ru2 at its relaxed geometry from the Alexandria database. Energies are from PBE.

```
Pa3Ga3Ru2
1.0
-4.5122 -1.6233 -2.0901
3.3175 -7.4139 -1.4041
-4.6015 -4.6198 13.5220
Pa Ga Ru
12 12 8
Cartesian
-0.7392 -5.4469 4.3125 Pa
-5.5030 -4.0668 6.9791 Pa
-6.3041 -9.4621 9.3802 Pa
0.9539 -8.3381 -0.6160 Pa
-5.0570 -8.2100 5.7154 Pa
-0.2932 -9.5902 3.0488 Pa
0.5079 -4.1949 0.6477 Pa
-6.7502 -5.3189 10.6439 Pa
-2.7852 -4.5669 1.6585 Pa
-3.3478 -4.9076 9.6838 Pa
-3.0110 -9.0901 8.3694 Pa
-2.4484 -8.7494 0.3441 Pa
-1.0357 -2.6371 2.9132 Ga
-5.1081 -6.8412 8.4241 Ga
-4.7606 -11.0199 7.1147 Ga
-0.6881 -6.8157 1.6038 Ga
-3.8229 -5.3880 4.6726 Ga
-2.2162 -4.0527 6.7131 Ga
-3.9876 -10.2913 11.2745 Ga
-1.5657 -7.5820 -2.6044 Ga
-1.9733 -8.2690 5.3553 Ga
-3.5800 -9.6043 3.3148 Ga
-1.8086 -3.3657 -1.2466 Ga
-4.2305 -6.0750 12.6323 Ga
-5.3092 -3.7214 3.3935 Ru
-2.9313 -6.5112 6.9726 Ru
-1.7598 -11.2135 10.3748 Ru
-1.5921 -5.8679 -0.6850 Ru
-0.4870 -9.9356 6.6344 Ru
-2.8650 -7.1458 3.0553 Ru
-4.0364 -2.4435 -0.3469 Ru
-4.2041 -7.7891 10.7129 Ru
```

Formation enthalpy at 0 K: -3.54 eV/f.u.
Energy: -7.457 eV/atom
Total magnetic moment: 0.000 μB per formula unit

***

No. 2
Here is crystalline PaGaRu2 at its relaxed geometry from the Alexandria database. Energies are from PBE.

```
PaGaRu2
1.0
3.6237 0.0000 0.0000
0.0000 4.3271 0.0000
0.0000 0.0000 4.3271
Ru Pa Ga
2 1 1
Cartesian
0.0000 0.0000 2.1636 Ru
0.0000 2.1636 0.0000 Ru
1.8118 2.1636 2.1636 Pa
1.8118 0.0000 0.0000 Ga
```

Formation enthalpy at 0 K: -2.45 eV/f.u.
Energy: -8.382 eV/atom
Total magnetic moment: 0.000 μB per formula unit

***

No. 3
Here is crystalline PaGa2Ru at its relaxed geometry from the Alexandria database. Energies are from PBE.

```
PaGa2Ru
1.0
4.4087 0.2466 0.0000
-1.9454 4.6931 0.0000
0.0000 0.0000 6.9626
Pa Ga Ru
2 4 2
Cartesian
2.5422 4.1353 1.7406 Pa
-0.0788 0.8043 5.2219 Pa
0.3373 3.5478 3.8396 Ga
2.1260 1.3919 3.1229 Ga
0.3373 3.5478 6.6042 Ga
2.1260 1.3919 0.3583 Ga
2.6094 3.1760 5.2219 Ru
-0.1460 1.7636 1.7406 Ru
```

Formation enthalpy at 0 K: -2.12 eV/f.u.
Energy: -6.735 eV/atom
Distance to the lowest polymorph of the same formula: 0.000 eV/atom
Total magnetic moment: 0.000 μB per formula unit

***

No. 4
Here is crystalline Pa2GaRu at its relaxed geometry from the Alexandria database. Energies are from PBE.

```
Pa2GaRu
1.0
-1.7819 0.0056 -3.8297
-0.2779 -4.3375 0.1230
-3.9325 0.3039 1.8302
Ru Pa Ga
1 2 1
Cartesian
-0.8910 0.0028 -1.9148 Ru
-1.9663 0.1519 0.9151 Pa
-0.1390 -2.1688 0.0615 Pa
-2.9962 -2.0140 -0.9383 Ga
```

Formation enthalpy at 0 K: -1.39 eV/f.u.
Energy: -8.171 eV/atom
Distance to the lowest polymorph of the same formula: 0.000 eV/atom
Total magnetic moment: 0.000 μB per formula unit

***

No. 5
Here is crystalline Pa4Ga12Ru at its relaxed geometry from the Alexandria database. Energies are from PBE.

```
Pa4Ga12Ru
1.0
7.4730 0.0000 0.0000
-2.4910 7.0456 0.0000
-2.4910 -3.5228 6.1016
Pa Ga Ru
4 12 1
Cartesian
-1.2455 -1.7614 3.0508 Pa
3.7365 0.0000 0.0000 Pa
1.2455 1.7614 3.0508 Pa
-1.2455 3.5228 0.0000 Pa
-1.4618 1.0336 1.7903 Ga
-3.5202 2.4891 4.3113 Ga
3.5202 4.9783 0.0000 Ga
1.4618 2.0673 0.0000 Ga
1.4618 -1.0336 1.7903 Ga
3.5202 -2.4891 4.3113 Ga
1.2455 -0.8807 4.5762 Ga
1.2455 4.4035 1.5254 Ga
3.7365 0.0000 3.0508 Ga
-1.2455 3.5228 3.0508 Ga
3.7365 2.6421 1.5254 Ga
-1.2455 0.8807 4.5762 Ga
0.0000 0.0000 0.0000 Ru
```

Formation enthalpy at 0 K: -7.53 eV/f.u.
Energy: -5.360 eV/atom
Total magnetic moment: 0.000 μB per formula unit

***

No. 6
Here is crystalline PaGa2Ru3 at its relaxed geometry from the Alexandria database. Energies are from PBE.

```
PaGa2Ru3
1.0
4.5557 0.0000 0.0000
-2.2778 3.9453 0.0000
0.0000 0.0000 5.3776
Pa Ga Ru
1 2 3
Cartesian
0.0000 0.0000 0.0000 Pa
2.2778 1.3151 1.7496 Ga
0.0000 2.6302 3.6280 Ga
0.0000 0.0000 2.6888 Ru
2.2778 1.3151 4.3187 Ru
0.0000 2.6302 1.0588 Ru
```

Formation enthalpy at 0 K: -3.09 eV/f.u.
Energy: -7.745 eV/atom
Total magnetic moment: 0.000 μB per formula unit

***

No. 7
Here is crystalline Pa7Ga2Ru2 at its relaxed geometry from the Alexandria database. Energies are from PBE.

```
Pa7Ga2Ru2
1.0
-1.6256 6.1695 1.1043
-5.9998 -1.8971 1.7682
2.3246 -2.0533 5.6838
Pa Ga Ru
7 2 2
Cartesian
-0.5741 -1.5757 3.3536 Pa
-5.0761 1.7367 1.8086 Pa
-4.7266 3.7948 5.2026 Pa
-0.2246 0.4825 6.7476 Pa
0.0000 0.0000 0.0000 Pa
-3.9527 0.6982 4.6617 Pa
-1.3481 1.5210 3.8946 Pa
-2.4091 2.5305 6.6214 Ga
-2.8917 -0.3113 1.9349 Ga
-0.5613 3.9539 2.3382 Ru
-4.7394 -1.7347 6.2180 Ru
```

Formation enthalpy at 0 K: -0.39 eV/f.u.
Energy: -8.316 eV/atom
Total magnetic moment: 0.000 μB per formula unit

***

No. 8
Here is crystalline PaGaRu2 at its relaxed geometry from the Alexandria database. Energies are from PBE.

```
PaGaRu2
1.0
3.3541 0.0000 0.0000
0.0000 3.3541 0.0000
0.0000 0.0000 6.2023
Ru Pa Ga
2 1 1
Cartesian
0.0000 0.0000 4.5599 Ru
0.0000 0.0000 1.6424 Ru
1.6770 1.6770 0.0000 Pa
1.6770 1.6770 3.1011 Ga
```

Formation enthalpy at 0 K: -1.32 eV/f.u.
Energy: -8.098 eV/atom
Total magnetic moment: 0.000 μB per formula unit

***

No. 9
Here is crystalline Pa2GaRu4 at its relaxed geometry from the Alexandria database. Energies are from PBE.

```
Pa2GaRu4
1.0
-3.2273 2.3864 -0.7401
-3.2154 -3.4114 3.0215
1.5271 3.3616 4.1801
Ru Pa Ga
4 2 1
Cartesian
-1.2289 -0.0362 5.2420 Ru
-0.4594 -0.0135 1.9596 Ru
-0.8501 2.8740 1.7200 Ru
-3.2213 -0.5125 1.1407 Ru
-2.2264 -1.9990 3.2631 Pa
0.5381 1.9492 3.9385 Pa
-2.4578 1.1683 3.2308 Ga
```

Formation enthalpy at 0 K: -3.50 eV/f.u.
Energy: -8.946 eV/atom
Total magnetic moment: 0.000 μB per formula unit

***

No. 10
Here is crystalline Pa2Ga2SbRu5 at its relaxed geometry from the Alexandria database. Energies are from PBE.

```
Pa2Ga2SbRu5
1.0
3.6267 0.0000 0.0000
0.0000 9.7974 0.0000
0.0000 0.0000 9.7974
Pa Ga Sb Ru
4 4 2 10
Cartesian
0.0000 6.6186 1.7198 Pa
0.0000 3.1789 8.0776 Pa
0.0000 1.7198 3.1789 Pa
0.0000 8.0776 6.6186 Pa
0.0000 1.1924 6.0912 Ga
0.0000 8.6050 3.7063 Ga
0.0000 6.0912 8.6050 Ga
0.0000 3.7063 1.1924 Ga
0.0000 0.0000 0.0000 Sb
0.0000 4.8987 4.8987 Sb
1.8134 1.9890 0.8301 Ru
1.8134 7.8085 8.9674 Ru
1.8134 0.8301 7.8085 Ru
1.8134 6.8877 4.0686 Ru
1.8134 8.9674 1.9890 Ru
1.8134 2.9098 5.7288 Ru
1.8134 5.7288 6.8877 Ru
1.8134 4.0686 2.9098 Ru
1.8134 4.8987 0.0000 Ru
1.8134 0.0000 4.8987 Ru
```

Energy relative to the elements, uncorrected: -4.282 eV per formula unit
Energy: -7.983 eV/atom
Total magnetic moment: 0.000 μB per formula unit

***

No. 11
Here is crystalline Pa2GaSi2Ru5 at its relaxed geometry from the Alexandria database. Energies are from PBE.

```
Pa2GaSi2Ru5
1.0
-0.8532 1.5042 2.9891
6.2976 -5.7812 4.7066
7.0542 6.6139 -1.3148
Pa Ga Si Ru
4 2 4 10
Cartesian
5.5060 -2.7436 2.9521 Pa
7.8457 3.5763 0.4397 Pa
3.3935 1.1186 0.4057 Pa
9.9582 -0.2859 2.9861 Pa
0.0000 0.0000 0.0000 Ga
6.6759 0.4164 1.6959 Ga
5.1613 3.4088 -0.2423 Si
8.1905 -2.5761 3.6341 Si
10.1104 2.2062 1.7755 Si
3.2414 -1.3735 1.6163 Si
1.4206 0.0323 2.3840 Ru
11.0780 2.3046 3.9970 Ru
5.6172 5.5474 0.8065 Ru
7.0446 -0.5375 4.2759 Ru
6.8814 -3.2105 5.5744 Ru
5.4540 2.8744 2.1050 Ru
8.1988 2.1250 3.2655 Ru
4.2998 0.2119 3.1154 Ru
2.7222 -2.1385 3.8479 Ru
3.1005 4.0590 0.8371 Ru
```

Energy relative to the elements, uncorrected: -6.317 eV per formula unit
Energy: -8.556 eV/atom
Total magnetic moment: 0.000 μB per formula unit

***

No. 12
Here is crystalline SmPaGaRu at its relaxed geometry from the Alexandria database. Energies are from PBE.

```
SmPaGaRu
1.0
-0.8961 -1.2157 -4.7540
-2.5281 -4.1634 -1.0757
-4.6352 0.2964 -1.8190
Ru Pa Ga Sm
1 1 1 1
Cartesian
-6.0446 -3.8120 -5.7366 Ru
-4.0297 -2.5413 -3.8244 Pa
-2.0149 -1.2707 -1.9122 Ga
0.0000 0.0000 0.0000 Sm
```

Formation enthalpy at 0 K: -0.79 eV/f.u.
Energy: -6.828 eV/atom
Total magnetic moment: 0.002 μB per formula unit

***

No. 13
Here is crystalline Pa2Ga2SnRu5 at its relaxed geometry from the Alexandria database. Energies are from PBE.

```
Pa2Ga2SnRu5
1.0
3.6049 0.0000 0.0000
0.0000 9.8322 0.0000
0.0000 0.0000 9.8322
Pa Ga Sn Ru
4 4 2 10
Cartesian
0.0000 6.6456 1.7295 Pa
0.0000 3.1866 8.1027 Pa
0.0000 1.7295 3.1866 Pa
0.0000 8.1027 6.6456 Pa
0.0000 1.1985 6.1146 Ga
0.0000 8.6337 3.7176 Ga
0.0000 6.1146 8.6337 Ga
0.0000 3.7176 1.1985 Ga
0.0000 0.0000 0.0000 Sn
0.0000 4.9161 4.9161 Sn
1.8024 2.0000 0.8433 Ru
1.8024 7.8322 8.9888 Ru
1.8024 0.8433 7.8322 Ru
1.8024 6.9161 4.0727 Ru
1.8024 8.9888 2.0000 Ru
1.8024 2.9161 5.7594 Ru
1.8024 5.7594 6.9161 Ru
1.8024 4.0727 2.9161 Ru
1.8024 4.9161 0.0000 Ru
1.8024 0.0000 4.9161 Ru
```

Formation enthalpy at 0 K: -4.26 eV/f.u.
Energy: -7.968 eV/atom
Total magnetic moment: 0.000 μB per formula unit

***

No. 14
Here is crystalline PaGaTcRu at its relaxed geometry from the Alexandria database. Energies are from PBE.

```
PaGaTcRu
1.0
3.5791 0.0000 0.0000
0.0000 4.3929 0.0000
0.0000 0.0000 4.3284
Pa Ga Tc Ru
1 1 1 1
Cartesian
0.0000 2.1965 2.1642 Pa
0.0000 0.0000 0.0000 Ga
1.7895 0.0000 2.1642 Tc
1.7895 2.1965 0.0000 Ru
```

Formation enthalpy at 0 K: -1.99 eV/f.u.
Energy: -8.538 eV/atom
Distance to the lowest polymorph of the same formula: 0.000 eV/atom
Total magnetic moment: 0.000 μB per formula unit

***

No. 15
Here is crystalline Pa3Ga3TcRu2 at its relaxed geometry from the Alexandria database. Energies are from PBE.

```
Pa3Ga3TcRu2
1.0
-3.7612 1.4919 0.0996
-0.6775 -1.2508 -6.8475
-1.8204 -4.8997 4.6466
Pa Ga Tc Ru
3 3 1 2
Cartesian
-0.7557 -2.0341 1.9290 Pa
-1.4609 -3.5971 -1.2872 Pa
-0.2813 -0.5193 -2.8427 Pa
-2.3946 -0.2030 -5.1453 Ga
-2.4834 -0.7382 -0.4813 Ga
-3.2617 -2.9713 3.5751 Ga
0.0000 0.0000 0.0000 Tc
-3.3201 -2.9374 0.8651 Ru
-2.9391 -1.7211 -2.9663 Ru
```

Formation enthalpy at 0 K: -4.52 eV/f.u.
Energy: -7.889 eV/atom
Total magnetic moment: 0.000 μB per formula unit

***

No. 16
Here is crystalline PaGaTcRu at its relaxed geometry from the Alexandria database. Energies are from PBE.

```
PaGaTcRu
1.0
4.6101 0.0000 0.0000
2.3051 3.9925 0.0000
2.3051 1.3308 3.7642
Ru Pa Tc Ga
1 1 1 1
Cartesian
6.9152 3.9925 2.8231 Ru
4.6101 2.6617 1.8821 Pa
2.3051 1.3308 0.9410 Tc
0.0000 0.0000 0.0000 Ga
```

Formation enthalpy at 0 K: -1.60 eV/f.u.
Energy: -8.442 eV/atom
Distance to the lowest polymorph of the same formula: 0.097 eV/atom
Total magnetic moment: 0.000 μB per formula unit

***

No. 17
Here is crystalline PaTiGaRu at its relaxed geometry from the Alexandria database. Energies are from PBE.

```
PaTiGaRu
1.0
4.6255 0.0000 0.0000
2.3127 4.0058 0.0000
2.3127 1.3353 3.7767
Ru Pa Ga Ti
1 1 1 1
Cartesian
6.9382 4.0058 2.8325 Ru
4.6255 2.6705 1.8883 Pa
0.0000 0.0000 0.0000 Ga
2.3127 1.3353 0.9442 Ti
```

Formation enthalpy at 0 K: -1.41 eV/f.u.
Energy: -7.775 eV/atom
Total magnetic moment: 0.000 μB per formula unit

***

No. 18
Here is crystalline TmPaGaRu at its relaxed geometry from the Alexandria database. Energies are from PBE.

```
TmPaGaRu
1.0
-0.0283 4.7025 1.4413
-1.4339 1.1666 4.5579
3.2988 1.5849 3.2860
Ru Pa Tm Ga
1 1 1 1
Cartesian
1.3774 5.5905 6.9638 Ru
0.0000 0.0000 0.0000 Pa
0.9183 3.7270 4.6426 Tm
0.4591 1.8635 2.3213 Ga
```

Formation enthalpy at 0 K: -1.22 eV/f.u.
Energy: -6.873 eV/atom
Total magnetic moment: 0.000 μB per formula unit

***

No. 19
Here is crystalline Tm2PaGa2Ru5 at its relaxed geometry from the Alexandria database. Energies are from PBE.

```
Tm2PaGa2Ru5
1.0
3.5361 0.0000 0.0000
0.0000 9.9411 0.0000
0.0000 0.0000 9.9411
Tm Pa Ga Ru
4 2 4 10
Cartesian
0.0000 6.6468 1.6763 Tm
0.0000 3.2943 8.2648 Tm
0.0000 1.6763 3.2943 Tm
0.0000 8.2648 6.6468 Tm
0.0000 0.0000 0.0000 Pa
0.0000 4.9706 4.9706 Pa
0.0000 1.2645 6.2350 Ga
0.0000 8.6766 3.7061 Ga
0.0000 6.2350 8.6766 Ga
0.0000 3.7061 1.2645 Ga
1.7681 2.0054 0.7036 Ru
1.7681 7.9357 9.2375 Ru
1.7681 0.7036 7.9357 Ru
1.7681 6.9759 4.2669 Ru
1.7681 9.2375 2.0054 Ru
1.7681 2.9652 5.6742 Ru
1.7681 5.6742 6.9759 Ru
1.7681 4.2669 2.9652 Ru
1.7681 4.9706 0.0000 Ru
1.7681 0.0000 4.9706 Ru
```

Formation enthalpy at 0 K: -5.26 eV/f.u.
Energy: -7.613 eV/atom
Total magnetic moment: 0.000 μB per formula unit

***

No. 20
Here is crystalline UPa2Ga2Ru5 at its relaxed geometry from the Alexandria database. Energies are from PBE.

```
UPa2Ga2Ru5
1.0
-0.0246 3.3210 1.4196
0.3975 -3.8975 9.1250
9.9223 0.2184 -0.3390
U Pa Ga Ru
2 4 4 10
Cartesian
0.0000 0.0000 0.0000 U
5.1599 -1.8396 4.3930 U
1.9456 -2.5715 6.0497 Pa
8.3742 -1.1076 2.7363 Pa
3.3489 -0.5875 1.4325 Pa
6.9709 -3.0916 7.3535 Pa
6.2634 -0.3550 0.9392 Ga
4.0564 -3.3241 7.8468 Ga
8.9191 -2.2497 5.4178 Ga
1.4007 -1.4294 3.3683 Ga
0.8181 0.8927 2.5205 Ru
9.4770 -1.2508 7.6851 Ru
7.9432 1.5402 1.1292 Ru
4.4771 -0.9799 6.9648 Ru
2.3519 -1.8983 9.0764 Ru
5.8180 0.6218 3.2408 Ru
7.1744 -0.4299 5.7247 Ru
3.1207 0.0718 4.4809 Ru
0.1864 -0.2883 5.2723 Ru
4.9488 1.7697 0.5403 Ru
```

Formation enthalpy at 0 K: -3.84 eV/f.u.
Energy: -8.655 eV/atom
Total magnetic moment: 1.164 μB per formula unit